1 | The following is a DFT calculation (PBE-GGA) of AcLuTa after structural relaxation.

a = 5.187 Å, b = 5.187 Å, c = 5.187 Å
α = 60.00°, β = 60.00°, γ = 60.00°
Element x y z (fractional)
Ac (0.000, 0.000, 0.000)
Lu (0.250, 0.250, 0.250)
Ta (0.500, 0.500, 0.500)

Output
* symmetry: F-43m, No. 216



2 | The following is a DFT calculation (PBE-GGA) of AcLuTa after structural relaxation.

a = 5.195 Å, b = 5.195 Å, c = 5.195 Å
α = 60.00°, β = 60.00°, γ = 60.00°
Element x y z (fractional)
Ac (0.000, 0.000, 0.000)
Lu (0.750, 0.750, 0.750)
Ta (0.250, 0.250, 0.250)

Output
* symmetry: F-43m, No. 216



Q: Which of them is the least stable? A: 2.



1 | The following is a DFT calculation (PBE-GGA) of AcLuTe after structural relaxation.

a = 5.556 Å, b = 5.556 Å, c = 5.556 Å
α = 60.00°, β = 60.00°, γ = 60.00°
Element x y z (fractional)
Ac (0.000, 0.000, 0.000)
Lu (0.250, 0.250, 0.250)
Te (0.750, 0.750, 0.750)

Output
* symmetry: F-43m, No. 216



2 | The following is a DFT calculation (PBE-GGA) of AcLuTe after structural relaxation.

a = 5.361 Å, b = 5.361 Å, c = 5.361 Å
α = 60.00°, β = 60.00°, γ = 60.00°
Element x y z (fractional)
Ac (0.000, 0.000, 0.000)
Lu (0.500, 0.500, 0.500)
Te (0.250, 0.250, 0.250)

Output
* symmetry: F-43m, No. 216



Q: Which of them is the least stable? A: 1.



1 | The following is a DFT calculation (PBE-GGA) of AcLuZr after structural relaxation.

a = 5.356 Å, b = 5.356 Å, c = 5.356 Å
α = 60.00°, β = 60.00°, γ = 60.00°
Element x y z (fractional)
Ac (0.000, 0.000, 0.000)
Lu (0.500, 0.500, 0.500)
Zr (0.250, 0.250, 0.250)

Output
* symmetry: F-43m, No. 216



2 | The following is a DFT calculation (PBE-GGA) of AcLuZr after structural relaxation.

a = 5.390 Å, b = 5.390 Å, c = 5.390 Å
α = 60.00°, β = 60.00°, γ = 60.00°
Element x y z (fractional)
Ac (0.000, 0.000, 0.000)
Lu (0.750, 0.750, 0.750)
Zr (0.250, 0.250, 0.250)

Output
* symmetry: F-43m, No. 216



Q: Which of them is the least stable? A: 2.



1 | The following is a DFT calculation (PBE-GGA) of AcMgNi after structural relaxation.

a = 5.080 Å, b = 5.080 Å, c = 5.080 Å
α = 60.00°, β = 60.00°, γ = 60.00°
Element x y z (fractional)
Ac (0.000, 0.000, 0.000)
Mg (0.750, 0.750, 0.750)
Ni (0.250, 0.250, 0.250)

Output
* symmetry: F-43m, No. 216



2 | The following is a DFT calculation (PBE-GGA) of AcMgNi after structural relaxation.

a = 4.868 Å, b = 4.868 Å, c = 4.868 Å
α = 60.00°, β = 60.00°, γ = 60.00°
Element x y z (fractional)
Ac (0.000, 0.000, 0.000)
Mg (0.500, 0.500, 0.500)
Ni (0.250, 0.250, 0.250)

Output
* symmetry: F-43m, No. 216



Q: Which of them is the least stable? A: 1.



1 | The following is a DFT calculation (PBE-GGA) of AcMgNp after structural relaxation.

a = 5.374 Å, b = 5.374 Å, c = 5.374 Å
α = 60.00°, β = 60.00°, γ = 60.00°
Element x y z (fractional)
Ac (0.000, 0.000, 0.000)
Mg (0.750, 0.750, 0.750)
Np (0.250, 0.250, 0.250)

Output
* symmetry: F-43m, No. 216



2 | The following is a DFT calculation (PBE-GGA) of AcMgNp after structural relaxation.

a = 5.462 Å, b = 5.462 Å, c = 5.462 Å
α = 60.00°, β = 60.00°, γ = 60.00°
Element x y z (fractional)
Ac (0.000, 0.000, 0.000)
Mg (0.250, 0.250, 0.250)
Np (0.500, 0.500, 0.500)

Output
* symmetry: F-43m, No. 216



Q: Which of them is the least stable? A: 1.



1 | The following is a DFT calculation (PBE-GGA) of AcMgPd after structural relaxation.

a = 5.171 Å, b = 5.171 Å, c = 5.171 Å
α = 60.00°, β = 60.00°, γ = 60.00°
Element x y z (fractional)
Ac (0.000, 0.000, 0.000)
Mg (0.750, 0.750, 0.750)
Pd (0.250, 0.250, 0.250)

Output
* symmetry: F-43m, No. 216



2 | The following is a DFT calculation (PBE-GGA) of AcMgPd after structural relaxation.

a = 7.893 Å, b = 4.343 Å, c = 13.550 Å
α = 90.00°, β = 90.36°, γ = 90.00°
Element x y z (fractional)
Ac (0.036, 0.250, 0.374)
Ac (0.161, 0.250, 0.083)
Ac (0.458, 0.750, 0.713)
Ac (0.542, 0.250, 0.287)
Ac (0.839, 0.750, 0.917)
Ac (0.964, 0.750, 0.626)
Mg (0.139, 0.250, 0.804)
Mg (0.367, 0.750, 0.462)
Mg (0.495, 0.250, 0.919)
Mg (0.505, 0.750, 0.081)
Mg (0.633, 0.250, 0.538)
Mg (0.861, 0.750, 0.196)
Pd (0.244, 0.750, 0.249)
Pd (0.262, 0.250, 0.578)
Pd (0.264, 0.750, 0.914)
Pd (0.736, 0.250, 0.086)
Pd (0.738, 0.750, 0.422)
Pd (0.756, 0.250, 0.751)

Output
* symmetry: P2_1/m, No. 11



Q: Which of them is the least stable? A: 1.



1 | The following is a DFT calculation (PBE-GGA) of AcMgPt after structural relaxation.

a = 5.118 Å, b = 5.118 Å, c = 5.118 Å
α = 60.00°, β = 60.00°, γ = 60.00°
Element x y z (fractional)
Ac (0.000, 0.000, 0.000)
Mg (0.750, 0.750, 0.750)
Pt (0.250, 0.250, 0.250)

Output
* symmetry: F-43m, No. 216



2 | The following is a DFT calculation (PBE-GGA) of AcMgPt after structural relaxation.

a = 7.614 Å, b = 4.386 Å, c = 9.053 Å
α = 90.00°, β = 90.00°, γ = 90.00°
Element x y z (fractional)
Ac (0.040, 0.250, 0.182)
Ac (0.460, 0.750, 0.682)
Ac (0.540, 0.250, 0.318)
Ac (0.960, 0.750, 0.818)
Mg (0.130, 0.250, 0.556)
Mg (0.370, 0.750, 0.056)
Mg (0.630, 0.250, 0.944)
Mg (0.870, 0.750, 0.444)
Pt (0.240, 0.750, 0.380)
Pt (0.260, 0.250, 0.880)
Pt (0.740, 0.750, 0.120)
Pt (0.760, 0.250, 0.620)

Output
* symmetry: Pnma, No. 62



Q: Which of them is the least stable? A: 1.



1 | The following is a DFT calculation (PBE-GGA) of AcPuMg after structural relaxation.

a = 5.491 Å, b = 5.491 Å, c = 5.491 Å
α = 60.00°, β = 60.00°, γ = 60.00°
Element x y z (fractional)
Ac (0.000, 0.000, 0.000)
Pu (0.500, 0.500, 0.500)
Mg (0.250, 0.250, 0.250)

Output
* symmetry: F-43m, No. 216



2 | The following is a DFT calculation (PBE-GGA) of AcPuMg after structural relaxation.

a = 5.386 Å, b = 5.386 Å, c = 5.386 Å
α = 60.00°, β = 60.00°, γ = 60.00°
Element x y z (fractional)
Ac (0.000, 0.000, 0.000)
Pu (0.250, 0.250, 0.250)
Mg (0.750, 0.750, 0.750)

Output
* symmetry: F-43m, No. 216



Q: Which of them is the least stable? A: 2.



1 | The following is a DFT calculation (PBE-GGA) of AcMgW after structural relaxation.

a = 5.028 Å, b = 5.028 Å, c = 5.028 Å
α = 60.00°, β = 60.00°, γ = 60.00°
Element x y z (fractional)
Ac (0.000, 0.000, 0.000)
Mg (0.500, 0.500, 0.500)
W (0.750, 0.750, 0.750)

Output
* symmetry: F-43m, No. 216



2 | The following is a DFT calculation (PBE-GGA) of AcMgW after structural relaxation.

a = 5.159 Å, b = 5.159 Å, c = 5.159 Å
α = 60.00°, β = 60.00°, γ = 60.00°
Element x y z (fractional)
Ac (0.000, 0.000, 0.000)
Mg (0.750, 0.750, 0.750)
W (0.250, 0.250, 0.250)

Output
* symmetry: F-43m, No. 216



Q: Which of them is the least stable? A: 2.



1 | The following is a DFT calculation (PBE-GGA) of AcMgZn after structural relaxation.

a = 4.800 Å, b = 7.711 Å, c = 7.711 Å
α = 119.99°, β = 90.00°, γ = 90.00°
Element x y z (fractional)
Ac (0.000, 0.000, 0.000)
Ac (0.000, 0.160, 0.579)
Ac (0.000, 0.579, 0.160)
Mg (0.500, 0.346, 0.346)
Mg (0.500, 0.580, 0.814)
Mg (0.500, 0.814, 0.580)
Zn (0.000, 0.580, 0.580)
Zn (0.500, 0.247, 0.913)
Zn (0.500, 0.913, 0.247)

Output
* symmetry: Amm2, No. 38



2 | The following is a DFT calculation (PBE-GGA) of AcMgZn after structural relaxation.

a = 5.053 Å, b = 5.053 Å, c = 5.053 Å
α = 60.00°, β = 60.00°, γ = 60.00°
Element x y z (fractional)
Ac (0.000, 0.000, 0.000)
Mg (0.500, 0.500, 0.500)
Zn (0.250, 0.250, 0.250)

Output
* symmetry: F-43m, No. 216



3 | The following is a DFT calculation (PBE-GGA) of AcMgZn after structural relaxation.

a = 5.295 Å, b = 5.295 Å, c = 5.295 Å
α = 60.00°, β = 60.00°, γ = 60.00°
Element x y z (fractional)
Ac (0.000, 0.000, 0.000)
Mg (0.750, 0.750, 0.750)
Zn (0.250, 0.250, 0.250)

Output
* symmetry: F-43m, No. 216



Q: Which of them is the least stable? A: 3.



1 | The following is a DFT calculation (PBE-GGA) of AcMgZr after structural relaxation.

a = 5.325 Å, b = 5.325 Å, c = 5.325 Å
α = 60.00°, β = 60.00°, γ = 60.00°
Element x y z (fractional)
Ac (0.000, 0.000, 0.000)
Mg (0.750, 0.750, 0.750)
Zr (0.250, 0.250, 0.250)

Output
* symmetry: F-43m, No. 216



2 | The following is a DFT calculation (PBE-GGA) of AcMgZr after structural relaxation.

a = 5.222 Å, b = 5.222 Å, c = 5.222 Å
α = 60.00°, β = 60.00°, γ = 60.00°
Element x y z (fractional)
Ac (0.000, 0.000, 0.000)
Mg (0.250, 0.250, 0.250)
Zr (0.500, 0.500, 0.500)

Output
* symmetry: F-43m, No. 216



Q: Which of them is the least stable? A: 1.



1 | The following is a DFT calculation (PBE-GGA) of AcTcMo after structural relaxation.

a = 4.582 Å, b = 4.582 Å, c = 4.582 Å
α = 60.00°, β = 60.00°, γ = 60.00°
Element x y z (fractional)
Ac (0.000, 0.000, 0.000)
Tc (0.250, 0.250, 0.250)
Mo (0.750, 0.750, 0.750)

Output
* symmetry: F-43m, No. 216



2 | The following is a DFT calculation (PBE-GGA) of AcTcMo after structural relaxation.

a = 4.633 Å, b = 4.633 Å, c = 4.633 Å
α = 60.00°, β = 60.00°, γ = 60.00°
Element x y z (fractional)
Ac (0.000, 0.000, 0.000)
Tc (0.500, 0.500, 0.500)
Mo (0.250, 0.250, 0.250)

Output
* symmetry: F-43m, No. 216



Q: Which of them is the least stable? A: 1.



1 | The following is a DFT calculation (PBE-GGA) of AcNbNO after structural relaxation.

a = 4.172 Å, b = 5.569 Å, c = 5.775 Å
α = 90.00°, β = 90.00°, γ = 90.00°
Element x y z (fractional)
Ac (0.000, 0.235, 0.000)
Ac (0.000, 0.765, 0.500)
Nb (0.500, 0.250, 0.499)
Nb (0.500, 0.750, 0.999)
N (0.500, 0.000, 0.249)
N (0.500, 0.000, 0.749)
O (0.000, 0.282, 0.498)
O (0.000, 0.718, 0.998)

Output
* symmetry: Pmc2_1, No. 26



2 | The following is a DFT calculation (PBE-GGA) of AcNbNO after structural relaxation.

a = 4.173 Å, b = 4.173 Å, c = 9.030 Å
α = 90.00°, β = 90.00°, γ = 90.00°
Element x y z (fractional)
Ac (0.250, 0.250, 0.145)
Ac (0.750, 0.750, 0.855)
Nb (0.250, 0.750, 0.500)
Nb (0.750, 0.250, 0.500)
N (0.250, 0.250, 0.451)
N (0.750, 0.750, 0.549)
O (0.250, 0.750, 0.000)
O (0.750, 0.250, 0.000)

Output
* symmetry: P4/nmm, No. 129



3 | The following is a DFT calculation (PBE-GGA) of AcNbNO after structural relaxation.

a = 4.650 Å, b = 4.650 Å, c = 6.079 Å
α = 90.00°, β = 90.00°, γ = 90.00°
Element x y z (fractional)
Ac (0.250, 0.750, 0.000)
Ac (0.750, 0.250, 0.000)
Nb (0.250, 0.250, 0.483)
Nb (0.750, 0.750, 0.517)
N (0.250, 0.250, 0.170)
N (0.750, 0.750, 0.830)
O (0.250, 0.750, 0.500)
O (0.750, 0.250, 0.500)

Output
* symmetry: P4/nmm, No. 129



4 | The following is a DFT calculation (PBE-GGA) of AcNbNO after structural relaxation.

a = 6.896 Å, b = 7.321 Å, c = 5.420 Å
α = 90.00°, β = 90.00°, γ = 90.00°
Element x y z (fractional)
Ac (0.069, 0.162, 0.000)
Ac (0.431, 0.162, 0.500)
Ac (0.569, 0.838, 0.000)
Ac (0.931, 0.838, 0.500)
Nb (0.136, 0.629, 0.016)
Nb (0.364, 0.629, 0.516)
Nb (0.636, 0.371, 0.016)
Nb (0.864, 0.371, 0.516)
N (0.109, 0.526, 0.657)
N (0.391, 0.526, 0.157)
N (0.609, 0.474, 0.657)
N (0.891, 0.474, 0.157)
O (0.069, 0.150, 0.487)
O (0.431, 0.150, 0.987)
O (0.569, 0.850, 0.487)
O (0.931, 0.850, 0.987)

Output
* symmetry: Pca2_1, No. 29



Q: Which of them is the least stable? A: 3.